## ZnPt4 (GGA-PBEsol)

Data for crystalline ZnPt4 at its relaxed geometry.

Output
Total magnetization, μB per formula unit: 0.0
E_form, eV per atom: -0.219
Symmetry: I4/m (87)
Energy, eV/cell: -30.5

Structure (extended XYZ):
```
5
Lattice="-3.056 3.056 1.964 3.056 -3.056 1.964 3.056 3.056 -1.964" Properties=species:S:1:pos:R:3 pbc="T T T"
Zn 0.000 0.000 0.000
Pt 2.415 1.221 0.000
Pt 1.835 -0.641 1.964
Pt 1.221 3.698 0.000
Pt 0.641 1.835 1.964
```